No. 1
The following is a meta-GGA SCAN calculation of a PBEsol-optimized structure of ScZnCo, from the Alexandria database.

total energy	-44.48	eV for the cell shown
crystal system	cubic
density	5.64	Mg/m³
SG	F-43m

POSCAR file:
```
ScZnCo
1.0
0.0000 2.9216 2.9216
2.9216 0.0000 2.9216
2.9216 2.9216 0.0000
Sc Zn Co
1 1 1
direct
0.0000 0.0000 0.0000 Sc
0.7500 0.7500 0.7500 Zn
0.5000 0.5000 0.5000 Co
```



No. 2
The following is a meta-GGA SCAN calculation of a PBEsol-optimized structure of Cd4AgTe, from the Alexandria database.

total energy	-188.99	eV for the cell shown
crystal system	cubic
density	8.53	Mg/m³
SG	F-43m

POSCAR file:
```
Cd4AgTe
1.0
0.0000 4.0556 4.0556
4.0556 0.0000 4.0556
4.0556 4.0556 0.0000
Cd Ag Te
4 1 1
direct
0.1254 0.1254 0.1254 Cd
0.1254 0.1254 0.6237 Cd
0.1254 0.6237 0.1254 Cd
0.6237 0.1254 0.1254 Cd
0.5000 0.5000 0.5000 Ag
0.7500 0.7500 0.7500 Te
```



Short version: DOS at the Fermi energy = 0.8936; 0.2891 states/eV/atom, in the order given.